This record from the Alexandria database describes a relaxed VSO5 crystal. The functional is PBE+U.

Structure (POSCAR):
```
VSO5
1.0
7.249 0.000 0.000
0.000 6.395 0.000
0.000 0.000 7.451
V S O
4 4 20
Direct
0.157 0.250 0.232 V
0.343 0.750 0.732 V
0.657 0.250 0.268 V
0.843 0.750 0.768 V
0.127 0.750 0.122 S
0.373 0.250 0.622 S
0.627 0.750 0.378 S
0.873 0.250 0.878 S
0.048 0.250 0.983 O
0.116 0.750 0.684 O
0.130 0.566 0.243 O
0.130 0.934 0.243 O
0.209 0.250 0.502 O
0.291 0.750 0.002 O
0.370 0.066 0.743 O
0.370 0.434 0.743 O
0.384 0.250 0.184 O
0.452 0.750 0.483 O
0.548 0.250 0.517 O
0.616 0.750 0.816 O
0.630 0.566 0.257 O
0.630 0.934 0.257 O
0.709 0.250 0.998 O
0.791 0.750 0.498 O
0.870 0.066 0.757 O
0.870 0.434 0.757 O
0.884 0.250 0.316 O
0.952 0.750 0.017 O
```

## Properties
energy above the lowest structure with this stoichiometry	0.000	eV per atom